## K3LiMo2O8 (GGA+U)

Data for crystalline K3LiMo2O8 at its relaxed geometry.

Summary:
energy = -6.092 eV per atom
M_tot = 0.00 μB/cell
symmetry = P-3m1
calculated density = 3.1 Mg/m³

Cell lengths 5.987, 5.987, 7.658 Å; angles 90.00, 90.00, 120.00 degrees
Sites, in units of the cell vectors:
K1 0.000 0.000 0.000
K2 0.333 0.667 0.658
K3 0.667 0.333 0.342
Li1 0.000 0.000 0.500
Mo1 0.333 0.667 0.227
Mo2 0.667 0.333 0.773
O1 0.171 0.343 0.314
O2 0.171 0.829 0.314
O3 0.333 0.667 0.994
O4 0.343 0.171 0.686
O5 0.657 0.829 0.314
O6 0.667 0.333 0.006
O7 0.829 0.171 0.686
O8 0.829 0.657 0.686